This record from Alexandria describes a relaxed NdPu2Ge2Pd2 crystal. The functional is PBE-GGA.

POSCAR file:
```
NdPu2Ge2Pd2
1.0
2.1094 1.2179 8.9086
-2.1094 1.2179 8.9086
0.0000 -2.4357 8.9086
Nd Pu Ge Pd
1 2 2 2
Direct
0.0000 0.0000 0.0000
0.1544 0.1544 0.1544
0.8456 0.8456 0.8456
0.2633 0.2633 0.2633
0.7367 0.7367 0.7367
0.4271 0.4271 0.4271
0.5729 0.5729 0.5729
```

Summary:
formation enthalpy at 0 K = -434 meV/atom